(1)
A plane-wave DFT calculation with meta-GGA SCAN was carried out for CaYRu2C at its PBEsol-relaxed geometry.

Unit cell a=4.3727 b=4.3727 c=5.3781 alpha=90.00 beta=90.00 gamma=90.00
With the nearest neighbours (Å) after each atom.
Atoms (fractional coordinates):
Y1 0.0000 0.0000 0.5000  2 Ca 2.69
Ru1 0.0000 0.5000 0.0000  2 Ca 2.19
Ru2 0.5000 0.0000 0.0000  2 Ca 2.19
Ca1 0.0000 0.0000 0.0000  4 Ru 2.19
C1 0.5000 0.5000 0.5000  4 Y 3.09

Computed properties:
Final energy: -1.5114 Ry/atom
SG: P4/mmm, No. 123

(2)
A plane-wave DFT calculation with meta-GGA SCAN was carried out for K2HgSeI at its PBEsol-relaxed geometry.

Unit cell a=5.9372 b=6.1407 c=6.1407 alpha=90.00 beta=90.00 gamma=90.00
With the nearest neighbours (Å) after each atom.
Atoms (fractional coordinates):
I1 0.5000 0.0000 0.0000  2 Se 2.97
K1 0.0000 0.0000 0.5000  2 Se 3.07
K2 0.0000 0.5000 0.0000  2 Se 3.07
Hg1 0.5000 0.5000 0.5000  8 K 4.27, 4 I 4.34
Se1 0.0000 0.0000 0.0000  2 I 2.97, 4 K 3.07

Computed properties:
Uncorrected formation energy: -671 meV per atom
SG: P4/mmm, No. 123

(3)
A plane-wave DFT calculation with meta-GGA SCAN was carried out for Mg16Al12Sn at its PBEsol-relaxed geometry.

Unit cell a=9.0532 b=9.0532 c=9.0532 alpha=109.22 beta=109.22 gamma=109.22
With the nearest neighbours (Å) after each atom.
Atoms (fractional coordinates):
Mg1 0.6839 0.2860 0.6839  5 Al 2.92-3.12, 7 Mg 3.02-3.15
Mg2 0.3991 0.7085 0.3991  5 Al 2.91-3.21, 1 Sn 3.05, 6 Mg 3.12-3.16
Mg3 0.0022 0.0022 0.0022  1 Sn 3.05, 3 Mg 3.14, 12 Al 3.16-3.23
Mg4 0.9992 0.3475 0.9992  4 Mg 3.02-3.14, 6 Al 3.08-3.10
Mg5 0.3184 0.0000 0.5978  5 Al 2.86-3.14, 7 Mg 3.02-3.19
Mg6 0.3991 0.3991 0.7085  5 Al 2.91-3.21, 1 Sn 3.05, 6 Mg 3.12-3.16
Mg7 0.0000 0.5978 0.3184  5 Al 2.86-3.14, 7 Mg 3.02-3.19
Mg8 0.9992 0.9992 0.3475  4 Mg 3.02-3.14, 6 Al 3.08-3.10
Mg9 0.2860 0.6839 0.6839  5 Al 2.92-3.12, 7 Mg 3.02-3.15
Mg10 0.5978 0.3184 0.0000  5 Al 2.86-3.14, 7 Mg 3.02-3.19
Mg11 0.0000 0.3184 0.5978  5 Al 2.86-3.14, 7 Mg 3.02-3.19
Mg12 0.6839 0.6839 0.2860  5 Al 2.92-3.12, 7 Mg 3.02-3.15
Mg13 0.3475 0.9992 0.9992  4 Mg 3.02-3.14, 6 Al 3.08-3.10
Mg14 0.3184 0.5978 0.0000  5 Al 2.86-3.14, 7 Mg 3.02-3.19
Mg15 0.7085 0.3991 0.3991  5 Al 2.91-3.21, 1 Sn 3.05, 6 Mg 3.12-3.16
Mg16 0.5978 0.0000 0.3184  5 Al 2.86-3.14, 7 Mg 3.02-3.19
Al1 0.3619 0.1744 0.3619  3 Al 2.68-2.77, 3 Mg 2.92-2.96
Al2 0.1837 0.8140 0.1837  3 Al 2.68-2.73, 3 Mg 2.91-2.97
Al3 0.6326 0.0053 0.8172  3 Al 2.72-2.78, 3 Mg 2.86-2.99
Al4 0.1744 0.3619 0.3619  3 Al 2.68-2.77, 3 Mg 2.92-2.96
Al5 0.8172 0.6326 0.0053  3 Al 2.72-2.78, 3 Mg 2.86-2.99
Al6 0.8140 0.1837 0.1837  3 Al 2.68-2.73, 3 Mg 2.91-2.97
Al7 0.6326 0.8172 0.0053  3 Al 2.72-2.78, 3 Mg 2.86-2.99
Al8 0.0053 0.8172 0.6326  3 Al 2.72-2.78, 3 Mg 2.86-2.99
Al9 0.1837 0.1837 0.8140  3 Al 2.68-2.73, 3 Mg 2.91-2.97
Al10 0.0053 0.6326 0.8172  3 Al 2.72-2.78, 3 Mg 2.86-2.99
Al11 0.3619 0.3619 0.1744  3 Al 2.68-2.77, 3 Mg 2.92-2.96
Al12 0.8172 0.0053 0.6326  3 Al 2.72-2.78, 3 Mg 2.86-2.99
Sn1 0.6691 0.6691 0.6691  4 Mg 3.05, 6 Al 3.07

Computed properties:
SG: R3m, No. 160
ΔE to the lowest computed polymorph: 5 meV/atom

(4)
A plane-wave DFT calculation with meta-GGA SCAN was carried out for MnPbBr at its PBEsol-relaxed geometry.

Unit cell a=3.4801 b=3.4801 c=7.2078 alpha=90.00 beta=90.00 gamma=120.00
With the nearest neighbours (Å) after each atom.
Atoms (fractional coordinates):
Br1 0.0000 0.0000 0.9161  3 Mn 2.57
Mn1 0.3333 0.6667 0.6942  3 Br 2.57
Pb1 0.6667 0.3333 0.3898  3 Mn 2.97

Computed properties:
Uncorrected formation energy: -393 meV per atom
SG: P3m1, No. 156